one) Tm8CoRh2: relaxed, PBE-GGA.

Cell lengths 7.411, 7.411, 5.882 Å; angles 101.11, 101.11, 113.31 degrees
Sites, in units of the cell vectors:
Tm  0.000  0.000  0.000
Tm  0.010  0.267  0.587
Tm  0.151  0.560  0.179
Tm  0.267  0.010  0.587
Tm  0.430  0.686  0.791
Tm  0.560  0.151  0.179
Tm  0.686  0.430  0.791
Tm  0.707  0.707  0.362
Co  0.357  0.357  0.003
Rh  0.034  0.658  0.684
Rh  0.658  0.034  0.684

Summary:
symmetry	No. 8
crystal system	monoclinic

***

two) Tm8CoRh2: relaxed, PBE-GGA.

Cell lengths 8.784, 8.784, 6.647 Å; angles 107.00, 107.00, 32.37 degrees
Sites, in units of the cell vectors:
Tm  0.031  0.031  0.294
Tm  0.202  0.202  0.811
Tm  0.335  0.335  0.534
Tm  0.407  0.407  0.058
Tm  0.593  0.593  0.942
Tm  0.665  0.665  0.466
Tm  0.798  0.798  0.189
Tm  0.969  0.969  0.706
Co  0.500  0.500  0.500
Rh  0.186  0.186  0.204
Rh  0.814  0.814  0.796

Summary:
symmetry	No. 12
crystal system	monoclinic

***

Most stable pick: two). Distance to second place: 5.6 kJ/mol of atoms.

***

one) Tm8Co2Rh: relaxed, PBE-GGA.

Cell lengths 8.743, 8.743, 6.593 Å; angles 106.55, 106.55, 32.23 degrees
Sites, in units of the cell vectors:
Tm  0.036  0.036  0.290
Tm  0.202  0.202  0.821
Tm  0.327  0.327  0.526
Tm  0.404  0.404  0.044
Tm  0.596  0.596  0.956
Tm  0.673  0.673  0.474
Tm  0.798  0.798  0.179
Tm  0.964  0.964  0.710
Co  0.187  0.187  0.204
Co  0.813  0.813  0.796
Rh  0.500  0.500  0.500

Summary:
symmetry	No. 12
crystal system	monoclinic

***

two) Tm8Co2Rh: relaxed, PBE-GGA.

Cell lengths 7.317, 7.317, 5.743 Å; angles 99.83, 99.83, 113.11 degrees
Sites, in units of the cell vectors:
Tm  0.000  0.000  0.000
Tm  0.029  0.290  0.587
Tm  0.146  0.583  0.185
Tm  0.290  0.029  0.587
Tm  0.442  0.704  0.777
Tm  0.583  0.146  0.185
Tm  0.704  0.442  0.777
Tm  0.727  0.727  0.370
Co  0.058  0.676  0.686
Co  0.676  0.058  0.686
Rh  0.362  0.362  0.309

Summary:
symmetry	No. 8
crystal system	monoclinic

***

Most stable pick: one). Distance to second place: 5.2 kJ/mol of atoms.

***

one) UCoRh2: relaxed, PBE-GGA.

Cell lengths 4.499, 4.499, 4.499 Å; angles 60.00, 60.00, 60.00 degrees
Sites, in units of the cell vectors:
U  0.000  0.000  0.000
Co  0.500  0.500  0.500
Rh  0.250  0.250  0.250
Rh  0.750  0.750  0.750

Summary:
symmetry	No. 225
crystal system	cubic

***

two) UCoRh2: relaxed, PBE-GGA.

Cell lengths 3.956, 3.956, 3.948 Å; angles 90.00, 90.00, 90.00 degrees
Sites, in units of the cell vectors:
U  0.000  0.000  0.000
Co  0.500  0.500  0.000
Rh  0.000  0.500  0.500
Rh  0.500  0.000  0.500

Summary:
symmetry	No. 123
crystal system	tetragonal

***

Most stable pick: two). Distance to second place: 30.4 kJ/mol of atoms.

***

one) VCoRh: relaxed, PBE-GGA.

Cell lengths 4.831, 4.831, 4.831 Å; angles 144.11, 144.11, 51.66 degrees
Sites, in units of the cell vectors:
V  0.000  0.000  0.000
Co  0.367  0.367  0.000
Rh  0.674  0.674  0.000

Summary:
symmetry	No. 107
crystal system	tetragonal

***

two) VCoRh: relaxed, PBE-GGA.

Cell lengths 4.321, 4.321, 8.146 Å; angles 113.91, 113.91, 35.58 degrees
Sites, in units of the cell vectors:
V  0.182  0.182  0.104
V  0.818  0.818  0.896
Co  0.338  0.338  0.444
Co  0.662  0.662  0.556
Rh  0.014  0.014  0.745
Rh  0.986  0.986  0.255

Summary:
symmetry	No. 12
crystal system	monoclinic

***

Most stable pick: one). Distance to second place: 19.8 kJ/mol of atoms.

***

one) VCoRh: relaxed, PBE-GGA.

Cell lengths 4.474, 4.474, 5.207 Å; angles 104.29, 104.29, 49.26 degrees
Sites, in units of the cell vectors:
V  0.000  0.000  0.000
V  0.696  0.696  0.396
Co  0.351  0.351  0.709
Co  0.677  0.677  0.871
Rh  0.024  0.024  0.531
Rh  0.342  0.342  0.193

Summary:
symmetry	No. 8
crystal system	monoclinic

***

two) VCoRh: relaxed, PBE-GGA.

Cell lengths 4.079, 4.079, 2.641 Å; angles 90.00, 90.00, 120.00 degrees
Sites, in units of the cell vectors:
V  0.000  0.000  0.000
Co  0.333  0.667  0.000
Rh  0.667  0.333  0.500

Summary:
symmetry	No. 187
crystal system	hexagonal

***

three) VCoRh: relaxed, PBE-GGA.

Cell lengths 3.950, 3.950, 5.314 Å; angles 90.00, 90.00, 90.22 degrees
Sites, in units of the cell vectors:
V  0.250  0.250  0.000
V  0.750  0.750  0.000
Co  0.250  0.750  0.748
Co  0.750  0.250  0.252
Rh  0.250  0.750  0.302
Rh  0.750  0.250  0.698

Summary:
symmetry	No. 67
crystal system	orthorhombic

***

Most stable pick: one). Distance to second place: 7.5 kJ/mol of atoms.

***

one) V2CoRh2: relaxed, PBE-GGA.

Cell lengths 6.311, 6.311, 6.311 Å; angles 146.50, 146.50, 48.10 degrees
Sites, in units of the cell vectors:
V  0.250  0.750  0.500
V  0.750  0.250  0.500
Co  0.000  0.000  0.000
Rh  0.394  0.394  0.000
Rh  0.606  0.606  0.000

Summary:
symmetry	No. 139
crystal system	tetragonal

***

two) V2CoRh2: relaxed, PBE-GGA.

Cell lengths 7.253, 7.253, 2.707 Å; angles 90.00, 90.00, 90.00 degrees
Sites, in units of the cell vectors:
V  0.156  0.344  0.000
V  0.344  0.844  0.000
V  0.656  0.156  0.000
V  0.844  0.656  0.000
Co  0.000  0.000  0.000
Co  0.500  0.500  0.000
Rh  0.141  0.641  0.500
Rh  0.359  0.141  0.500
Rh  0.641  0.859  0.500
Rh  0.859  0.359  0.500

Summary:
symmetry	No. 127
crystal system	tetragonal

***

Most stable pick: two). Distance to second place: 29.8 kJ/mol of atoms.

***

one) V2Co4Rh: relaxed, PBE-GGA.

Cell lengths 6.605, 6.605, 6.605 Å; angles 140.95, 140.95, 56.41 degrees
Sites, in units of the cell vectors:
V  0.114  0.114  0.000
V  0.886  0.886  0.000
Co  0.000  0.500  0.500
Co  0.289  0.289  0.000
Co  0.500  0.000  0.500
Co  0.711  0.711  0.000
Rh  0.500  0.500  0.000

Summary:
symmetry	No. 139
crystal system	tetragonal

***

two) V2Co4Rh: relaxed, PBE-GGA.

Cell lengths 8.850, 8.850, 8.850 Å; angles 159.27, 159.27, 29.48 degrees
Sites, in units of the cell vectors:
V  0.094  0.094  0.000
V  0.906  0.906  0.000
Co  0.250  0.750  0.500
Co  0.354  0.354  0.000
Co  0.646  0.646  0.000
Co  0.750  0.250  0.500
Rh  0.500  0.500  0.000

Summary:
symmetry	No. 139
crystal system	tetragonal

***

Most stable pick: two). Distance to second place: 103.4 kJ/mol of atoms.

***

one) VZnCoRh: relaxed, PBE-GGA.

Cell lengths 4.174, 4.174, 4.174 Å; angles 60.00, 60.00, 60.00 degrees
Sites, in units of the cell vectors:
V  0.000  0.000  0.000
Zn  0.500  0.500  0.500
Co  0.250  0.250  0.250
Rh  0.750  0.750  0.750

Summary:
symmetry	No. 216
crystal system	cubic

***

two) VZnCoRh: relaxed, PBE-GGA.

Cell lengths 2.971, 2.971, 5.829 Å; angles 90.00, 90.00, 90.00 degrees
Sites, in units of the cell vectors:
V  0.000  0.000  0.000
Zn  0.000  0.000  0.534
Co  0.500  0.500  0.782
Rh  0.500  0.500  0.260

Summary:
symmetry	No. 99
crystal system	tetragonal

***

Most stable pick: two). Distance to second place: 2.0 kJ/mol of atoms.